AgBi2Pb2, relaxed, DFT PBE; density of states at the Fermi level = 6.414 states/eV per cell; formation enthalpy at 0 K = 132 meV per atom; total moment = 0.0 Bohr magnetons per cell; polymorph energy (0 for the lowest one) = 0.00 eV per formula unit
1.0
-1.976 5.614 -4.776
-7.344 -1.084 1.765
0.440 3.585 4.032
Pb Ag Bi
4 2 4
direct
0.176 0.676 0.500
0.676 0.824 0.500
0.824 0.324 0.500
0.324 0.176 0.500
0.000 0.000 0.000
0.500 0.500 0.000
0.644 0.144 0.000
0.856 0.644 0.000
0.144 0.356 0.000
0.356 0.856 0.000